Model w:
# HoSc2Ag | Alexandria | PBE | relaxed
# **Symmetry**: R3m, No. 160
# **Density of states at the Fermi level**: 6.566 states/eV/f.u.
data_HoSc2Ag
_cell_length_a 3.407
_cell_length_b 3.407
_cell_length_c 10.055
_cell_angle_alpha 80.24
_cell_angle_beta 80.24
_cell_angle_gamma 60.00
_space_group_name_H-M_alt 'P 1'
_space_group_IT_number 1
_space_group_name_Hall 'P 1'
loop_
_atom_site_label
_atom_site_fract_x
_atom_site_fract_y
_atom_site_fract_z
Sc1 0.259 0.259 0.224
Ag1 0.666 0.666 0.002
Ho1 0.501 0.501 0.498
Sc2 0.075 0.075 0.776

=====

Model x:
# HoSc2Ag | Alexandria | PBE | relaxed
# **Symmetry**: Fm-3m, No. 225
# **Density of states at the Fermi level**: 5.593 states/eV/f.u.
data_HoSc2Ag
_cell_length_a 5.098
_cell_length_b 5.098
_cell_length_c 5.099
_cell_angle_alpha 60.01
_cell_angle_beta 60.01
_cell_angle_gamma 60.00
_space_group_name_H-M_alt 'P 1'
_space_group_IT_number 1
_space_group_name_Hall 'P 1'
loop_
_atom_site_label
_atom_site_fract_x
_atom_site_fract_y
_atom_site_fract_z
Ho1 0.000 0.000 0.000
Ag1 0.500 0.500 0.500
Sc1 0.750 0.750 0.750
Sc2 0.250 0.250 0.250

=====

Model y:
# HoSc2Ag | Alexandria | PBE | relaxed
# **Symmetry**: Pnma, No. 62
# **Density of states at the Fermi level**: 4.589 states/eV/f.u.
data_HoSc2Ag
_cell_length_a 6.183
_cell_length_b 6.292
_cell_length_c 9.986
_cell_angle_alpha 90.00
_cell_angle_beta 90.00
_cell_angle_gamma 90.00
_space_group_name_H-M_alt 'P 1'
_space_group_IT_number 1
_space_group_name_Hall 'P 1'
loop_
_atom_site_label
_atom_site_fract_x
_atom_site_fract_y
_atom_site_fract_z
Ho1 0.098 0.019 0.750
Ag1 0.076 0.415 0.250
Sc1 0.816 0.320 0.531
Ag2 0.576 0.085 0.750
Ho2 0.902 0.981 0.250
Ag3 0.924 0.585 0.750
Sc2 0.816 0.320 0.969
Sc3 0.684 0.820 0.969
Sc4 0.684 0.820 0.531
Ho3 0.402 0.519 0.750
Sc5 0.316 0.180 0.031
Sc6 0.184 0.680 0.031
Sc7 0.184 0.680 0.469
Ag4 0.424 0.915 0.250
Ho4 0.598 0.481 0.250
Sc8 0.316 0.180 0.469

=====

model y (134 meV per atom below the next structure)

=====

Model w:
# HoSc2Ag | Alexandria | PBE | relaxed
# **Symmetry**: P4/mmm, No. 123
# **Density of states at the Fermi level**: 6.729 states/eV/f.u.
data_HoSc2Ag
_cell_length_a 4.739
_cell_length_b 4.471
_cell_length_c 4.471
_cell_angle_alpha 90.00
_cell_angle_beta 90.00
_cell_angle_gamma 90.00
_space_group_name_H-M_alt 'P 1'
_space_group_IT_number 1
_space_group_name_Hall 'P 1'
loop_
_atom_site_label
_atom_site_fract_x
_atom_site_fract_y
_atom_site_fract_z
Ag1 0.500 0.000 0.000
Sc1 0.000 0.500 0.000
Sc2 0.000 0.000 0.500
Ho1 0.500 0.500 0.500

=====

Model x:
# HoSc2Ag | Alexandria | PBE | relaxed
# **Symmetry**: P4/mmm, No. 123
# **Density of states at the Fermi level**: 6.476 states/eV/f.u.
data_HoSc2Ag
_cell_length_a 3.467
_cell_length_b 3.467
_cell_length_c 7.991
_cell_angle_alpha 90.00
_cell_angle_beta 90.00
_cell_angle_gamma 90.00
_space_group_name_H-M_alt 'P 1'
_space_group_IT_number 1
_space_group_name_Hall 'P 1'
loop_
_atom_site_label
_atom_site_fract_x
_atom_site_fract_y
_atom_site_fract_z
Ho1 0.500 0.500 0.500
Sc1 0.000 0.000 0.210
Sc2 0.000 0.000 0.790
Ag1 0.500 0.500 0.000

=====

model x (78 meV per atom below the next structure)

=====

Model w:
# HoScAg4 | Alexandria | PBE | relaxed
# **Symmetry**: F-43m, No. 216
# **Density of states at the Fermi level**: 6.887 states/eV/f.u.
data_HoScAg4
_cell_length_a 5.617
_cell_length_b 5.617
_cell_length_c 5.617
_cell_angle_alpha 60.00
_cell_angle_beta 60.00
_cell_angle_gamma 60.00
_space_group_name_H-M_alt 'P 1'
_space_group_IT_number 1
_space_group_name_Hall 'P 1'
loop_
_atom_site_label
_atom_site_fract_x
_atom_site_fract_y
_atom_site_fract_z
Ag1 0.126 0.625 0.625
Sc1 0.250 0.250 0.250
Ho1 0.000 0.000 0.000
Ag2 0.625 0.625 0.625
Ag3 0.625 0.625 0.126
Ag4 0.625 0.126 0.625

=====

Model x:
# HoScAg4 | Alexandria | PBE | relaxed
# **Symmetry**: C2/m, No. 12
# **Density of states at the Fermi level**: 3.017 states/eV/f.u.
data_HoScAg4
_cell_length_a 5.154
_cell_length_b 5.169
_cell_length_c 5.241
_cell_angle_alpha 60.45
_cell_angle_beta 90.03
_cell_angle_gamma 90.06
_space_group_name_H-M_alt 'P 1'
_space_group_IT_number 1
_space_group_name_Hall 'P 1'
loop_
_atom_site_label
_atom_site_fract_x
_atom_site_fract_y
_atom_site_fract_z
Ag1 0.501 0.673 0.154
Ag2 0.001 0.836 0.826
Ho1 0.001 0.502 0.495
Ag3 0.501 0.331 0.837
Sc1 0.501 0.002 0.495
Ag4 0.001 0.167 0.165

=====

Model y:
# HoScAg4 | Alexandria | PBE | relaxed
# **Symmetry**: C2/m, No. 12
# **Density of states at the Fermi level**: 2.409 states/eV/f.u.
data_HoScAg4
_cell_length_a 3.647
_cell_length_b 5.228
_cell_length_c 7.367
_cell_angle_alpha 78.96
_cell_angle_beta 104.35
_cell_angle_gamma 69.59
_space_group_name_H-M_alt 'P 1'
_space_group_IT_number 1
_space_group_name_Hall 'P 1'
loop_
_atom_site_label
_atom_site_fract_x
_atom_site_fract_y
_atom_site_fract_z
Ag1 0.346 0.986 0.176
Ag2 0.825 0.506 0.655
Ho1 0.501 0.497 0.998
Ag3 0.656 0.009 0.820
Ag4 0.177 0.489 0.341
Sc1 0.001 0.997 0.498

=====

model y (5 meV per atom below the next structure)

=====

Model w:
# Ho2ScAg | Alexandria | PBE | relaxed
# **Symmetry**: R3m, No. 160
# **Density of states at the Fermi level**: 5.729 states/eV/f.u.
data_Ho2ScAg
_cell_length_a 3.463
_cell_length_b 3.463
_cell_length_c 10.347
_cell_angle_alpha 80.37
_cell_angle_beta 80.37
_cell_angle_gamma 60.00
_space_group_name_H-M_alt 'P 1'
_space_group_IT_number 1
_space_group_name_Hall 'P 1'
loop_
_atom_site_label
_atom_site_fract_x
_atom_site_fract_y
_atom_site_fract_z
Sc1 0.500 0.500 0.500
Ho1 0.079 0.079 0.763
Ag1 0.667 0.667 0.999
Ho2 0.254 0.254 0.237

=====

Model x:
# Ho2ScAg | Alexandria | PBE | relaxed
# **Symmetry**: Fm-3m, No. 225
# **Density of states at the Fermi level**: 3.913 states/eV/f.u.
data_Ho2ScAg
_cell_length_a 5.243
_cell_length_b 5.243
_cell_length_c 5.243
_cell_angle_alpha 60.00
_cell_angle_beta 60.00
_cell_angle_gamma 60.00
_space_group_name_H-M_alt 'P 1'
_space_group_IT_number 1
_space_group_name_Hall 'P 1'
loop_
_atom_site_label
_atom_site_fract_x
_atom_site_fract_y
_atom_site_fract_z
Ag1 0.500 0.500 0.500
Ho1 0.250 0.250 0.250
Ho2 0.750 0.750 0.750
Sc1 0.000 0.000 0.000

=====

Model y:
# Ho2ScAg | Alexandria | PBE | relaxed
# **Symmetry**: P4/mmm, No. 123
# **Density of states at the Fermi level**: 5.242 states/eV/f.u.
data_Ho2ScAg
_cell_length_a 3.662
_cell_length_b 5.263
_cell_length_c 5.263
_cell_angle_alpha 90.00
_cell_angle_beta 90.00
_cell_angle_gamma 90.00
_space_group_name_H-M_alt 'P 1'
_space_group_IT_number 1
_space_group_name_Hall 'P 1'
loop_
_atom_site_label
_atom_site_fract_x
_atom_site_fract_y
_atom_site_fract_z
Ho1 0.000 0.500 0.000
Ho2 0.000 0.000 0.500
Ag1 0.500 0.000 0.000
Sc1 0.500 0.500 0.500

=====

Model z:
# Ho2ScAg | Alexandria | PBE | relaxed
# **Symmetry**: P4/mmm, No. 123
# **Density of states at the Fermi level**: 5.890 states/eV/f.u.
data_Ho2ScAg
_cell_length_a 3.499
_cell_length_b 3.499
_cell_length_c 8.469
_cell_angle_alpha 90.00
_cell_angle_beta 90.00
_cell_angle_gamma 90.00
_space_group_name_H-M_alt 'P 1'
_space_group_IT_number 1
_space_group_name_Hall 'P 1'
loop_
_atom_site_label
_atom_site_fract_x
_atom_site_fract_y
_atom_site_fract_z
Ag1 0.500 0.500 0.000
Ho1 0.000 0.000 0.771
Sc1 0.500 0.500 0.500
Ho2 0.000 0.000 0.229

=====

model z (68 meV per atom below the next structure)

=====

Model w:
# Ho2AgSe | Alexandria | PBE | relaxed
# **Symmetry**: R-3m, No. 166
# **Density of states at the Fermi level**: 2.542 states/eV/f.u.
data_Ho2AgSe
_cell_length_a 3.686
_cell_length_b 3.686
_cell_length_c 9.794
_cell_angle_alpha 79.15
_cell_angle_beta 79.15
_cell_angle_gamma 60.00
_space_group_name_H-M_alt 'P 1'
_space_group_IT_number 1
_space_group_name_Hall 'P 1'
loop_
_atom_site_label
_atom_site_fract_x
_atom_site_fract_y
_atom_site_fract_z
Se1 0.500 0.500 0.500
Ho1 0.103 0.103 0.692
Ho2 0.897 0.897 0.308
Ag1 0.000 0.000 0.000

=====

Model x:
# Ho2AgSe | Alexandria | PBE | relaxed
# **Symmetry**: Cmcm, No. 63
# **Density of states at the Fermi level**: 1.815 states/eV/f.u.
data_Ho2AgSe
_cell_length_a 4.150
_cell_length_b 4.050
_cell_length_c 11.751
_cell_angle_alpha 99.92
_cell_angle_beta 90.00
_cell_angle_gamma 90.00
_space_group_name_H-M_alt 'P 1'
_space_group_IT_number 1
_space_group_name_Hall 'P 1'
loop_
_atom_site_label
_atom_site_fract_x
_atom_site_fract_y
_atom_site_fract_z
Ho1 0.250 0.317 0.634
Ho2 0.750 0.930 0.860
Se1 0.750 0.806 0.612
Ho3 0.750 0.683 0.366
Se2 0.250 0.194 0.388
Ag1 0.750 0.543 0.086
Ho4 0.250 0.070 0.140
Ag2 0.250 0.457 0.914

=====

Model y:
# Ho2AgSe | Alexandria | PBE | relaxed
# **Symmetry**: R3m, No. 160
# **Density of states at the Fermi level**: 2.955 states/eV/f.u.
data_Ho2AgSe
_cell_length_a 3.902
_cell_length_b 3.902
_cell_length_c 8.028
_cell_angle_alpha 75.94
_cell_angle_beta 75.94
_cell_angle_gamma 60.00
_space_group_name_H-M_alt 'P 1'
_space_group_IT_number 1
_space_group_name_Hall 'P 1'
loop_
_atom_site_label
_atom_site_fract_x
_atom_site_fract_y
_atom_site_fract_z
Ag1 0.668 0.668 0.997
Se1 0.499 0.499 0.504
Ho1 0.250 0.250 0.251
Ho2 0.084 0.084 0.748

=====

model x (162 meV per atom below the next structure)